A crystal of K2ScCu relaxed with PBEsol, computed with SCAN.

Computed properties:
Space group   Pmmm (47)
Total magnetization   1.1 μB per formula unit
E_form   69 kJ/mol of atoms
Distance to the lowest polymorph of the same formula   0 meV per atom
Uncorrected energy   -10.8117 eV per atom

The structure in extended XYZ format:
```
4
Lattice="4.2822 0.0000 0.0000 0.0000 4.4101 0.0000 0.0000 0.0000 6.0261" Properties=species:S:1:pos:R:3 pbc="T T T"
K 0.0000 0.0000 0.0000
K 2.1411 2.2050 0.0000
Sc 0.0000 2.2050 3.0130
Cu 2.1411 0.0000 3.0130
```

***

A crystal of SrAl2Br2 relaxed with PBEsol, computed with SCAN.

Computed properties:
Space group   I4/mmm (139)
Total magnetization   0.0 μB per formula unit
Raw formation energy   -0.22 eV/atom
Uncorrected energy   -15.5548 eV per atom

The structure in extended XYZ format:
```
5
Lattice="-2.4335 2.4335 6.1413 2.4335 -2.4335 6.1413 2.4335 2.4335 -6.1413" Properties=species:S:1:pos:R:3 pbc="T T T"
Sr 0.0000 0.0000 0.0000
Al 0.0000 0.0000 4.7650
Al 0.0000 0.0000 7.5175
Br 2.4335 0.0000 3.0706
Br 0.0000 2.4335 3.0706
```

***

> uncorrected energy of number 1 (K2ScCu)?

-10.8117 eV per atom

***

> What is the formula in the second record?

SrAl2Br2